Compound: Tm3GaNi2
Source: Alexandria via LeMat-Bulk
Functional: PBE
Structure: optimized geometry

Lattice parameters (Å, degrees): 3.3623 3.3623 10.4241 90.00 90.00 90.00
Closest atoms and distances in Å follow each position.
Element x y z (fractional)
Tm (0.0000, 0.0000, 0.0000)  8 Ni 2.93
Tm (0.0000, 0.0000, 0.3161)  4 Ni 2.86, 4 Ga 3.05
Tm (0.0000, 0.0000, 0.6839)  4 Ni 2.86, 4 Ga 3.05
Ga (0.5000, 0.5000, 0.5000)  8 Tm 3.05, 4 Ga 3.36
Ni (0.5000, 0.5000, 0.1636)  8 Tm 2.86-2.93
Ni (0.5000, 0.5000, 0.8364)  8 Tm 2.86-2.93

## Properties
- Mass density: 9.78 g/cm³
- SG: P4/mmm, No. 123
- Uncorrected energy: -5.172 eV per atom
- DOS(E_F): 3.48 states/eV per cell
- ΔE_f: -0.5050 eV/atom
- Total moment: 0.00 μB/atom